No. 1
ThPaSnHg PBE relaxed; total moment = 2.1 μB/cell; DFT formation energy = -0.0854 eV/atom; Fermi-level density of states = 1.8827 states/eV per atom; raw total energy = -5.39 eV per atom; SG = F-43m (216)
1.0
0.000 3.804 3.804
3.804 0.000 3.804
3.804 3.804 0.000
Th Pa Sn Hg
1 1 1 1
Cartesian
0.000 0.000 0.000
3.804 3.804 3.804
1.902 1.902 1.902
5.707 5.707 5.707

=====

No. 2
TbPmPbSe PBE relaxed; energy relative to the elements, uncorrected = -110.39 kJ/mol of atoms; total moment = 0.0 μB/cell; Fermi-level density of states = 0.1714 states/eV per atom; raw total energy = -5.29 eV per atom; SG = P4/mmm (123)
1.0
4.362 0.000 0.000
0.000 4.362 0.000
0.000 0.000 6.120
Tb Pm Pb Se
1 1 1 1
Cartesian
0.000 0.000 0.000
2.181 2.181 3.060
0.000 0.000 3.060
2.181 2.181 0.000

=====

No. 3
CsLi2SiRh PBE relaxed; energy relative to the elements, uncorrected = 158.94 kJ/mol of atoms; total moment = 0.0 μB/cell; Fermi-level density of states = 0.9303 states/eV per atom; raw total energy = -1.84 eV per atom; SG = P4/mmm (123)
1.0
4.765 0.000 0.000
0.000 4.765 0.000
0.000 0.000 5.575
Cs Li Si Rh
1 2 1 1
Cartesian
0.000 0.000 0.000
0.000 2.382 0.000
2.382 0.000 0.000
0.000 0.000 2.788
2.382 2.382 2.788

=====

What did the third record say?
CsLi2SiRh PBE relaxed; energy relative to the elements, uncorrected = 158.94 kJ/mol of atoms; total moment = 0.0 μB/cell; Fermi-level density of states = 0.9303 states/eV per atom; raw total energy = -1.84 eV per atom; SG = P4/mmm (123)
1.0
4.765 0.000 0.000
0.000 4.765 0.000
0.000 0.000 5.575
Cs Li Si Rh
1 2 1 1
Cartesian
0.000 0.000 0.000
0.000 2.382 0.000
2.382 0.000 0.000
0.000 0.000 2.788
2.382 2.382 2.788

=====

Q: Which formula does entry 1 have?
A: ThPaSnHg